(one)
Here is a geometry-optimized Ba3InGe structure from the Alexandria database. Energies are from PBE-GGA.

The structure in extended XYZ format:
```
10
Lattice="7.900 -2.587 0.000 7.900 2.587 0.000 -0.566 0.000 9.994" Properties=species:S:1:pos:R:3 pbc="T T T"
Ba 0.624 0.000 3.349
Ba 3.334 0.000 6.771
Ba 6.419 0.000 1.203
Ba 8.815 0.000 8.791
Ba 11.900 0.000 3.223
Ba 14.610 0.000 6.645
In 3.088 0.000 0.573
In 12.146 0.000 9.421
Ge 6.266 0.000 4.551
Ge 8.968 0.000 5.443
```

Summary:
- Symmetry: C2/m, No. 12
- Fermi-level density of states: 2.945 states/eV/f.u.

(two)
Here is a geometry-optimized Ba3InGe structure from the Alexandria database. Energies are from PBE-GGA.

The structure in extended XYZ format:
```
10
Lattice="0.000 5.478 9.323 3.920 0.000 9.323 3.920 5.478 0.000" Properties=species:S:1:pos:R:3 pbc="T T T"
Ba 3.920 5.478 3.728
Ba 3.920 3.349 7.381
Ba 3.920 3.349 11.266
Ba 3.920 7.606 7.381
Ba 3.920 7.606 11.266
Ba 3.920 5.478 14.919
In 6.410 5.478 9.323
In 1.431 5.478 9.323
Ge 1.960 2.739 4.662
Ge 5.881 8.217 13.985
```

Summary:
- Symmetry: Fmmm, No. 69
- Fermi-level density of states: 3.514 states/eV/f.u.

Which one sits at the bottom of the stability order? (one) does.

(one)
Here is a geometry-optimized BaGeIr3 structure from the Alexandria database. Energies are from PBE-GGA.

The structure in extended XYZ format:
```
5
Lattice="5.127 0.000 0.000 0.000 5.127 0.000 0.000 0.000 5.127" Properties=species:S:1:pos:R:3 pbc="T T T"
Ba 0.000 0.000 0.000
Ge 2.564 2.564 2.564
Ir 0.000 0.000 2.564
Ir 0.000 2.564 0.000
Ir 2.564 0.000 0.000
```

Summary:
- Symmetry: Pm-3m, No. 221
- Fermi-level density of states: 4.905 states/eV/f.u.

(two)
Here is a geometry-optimized BaGeIr3 structure from the Alexandria database. Energies are from PBE-GGA.

The structure in extended XYZ format:
```
5
Lattice="4.752 0.000 0.000 0.000 4.752 0.000 0.000 0.000 4.752" Properties=species:S:1:pos:R:3 pbc="T T T"
Ba 0.000 0.000 0.000
Ge 2.376 2.376 2.376
Ir 0.000 2.376 2.376
Ir 2.376 0.000 2.376
Ir 2.376 2.376 0.000
```

Summary:
- Symmetry: Pm-3m, No. 221
- Fermi-level density of states: 5.165 states/eV/f.u.

Which one sits at the bottom of the stability order? (one) does.

(one)
Here is a geometry-optimized BaLiGe2Ir structure from the Alexandria database. Energies are from PBE-GGA.

The structure in extended XYZ format:
```
5
Lattice="-2.149 2.149 5.986 2.149 -2.149 5.986 2.149 2.149 -5.986" Properties=species:S:1:pos:R:3 pbc="T T T"
Ba 0.000 0.000 0.000
Li 0.000 2.149 2.993
Ge 0.000 0.000 4.237
Ge 0.000 0.000 7.734
Ir 2.149 0.000 2.993
```

Summary:
- Symmetry: I-4m2, No. 119
- Fermi-level density of states: 2.532 states/eV/f.u.

(two)
Here is a geometry-optimized BaLiGe2Ir structure from the Alexandria database. Energies are from PBE-GGA.

The structure in extended XYZ format:
```
5
Lattice="4.830 0.000 0.000 0.000 4.830 0.000 0.000 0.000 5.002" Properties=species:S:1:pos:R:3 pbc="T T T"
Ba 0.000 0.000 0.000
Li 2.415 2.415 0.000
Ge 0.000 2.415 2.501
Ge 2.415 0.000 2.501
Ir 2.415 2.415 2.501
```

Summary:
- Symmetry: P4/mmm, No. 123
- Fermi-level density of states: 3.054 states/eV/f.u.

Which one sits at the bottom of the stability order? (two) does.